Ac2Pr2Nd4Dy after structural relaxation. Source: the Alexandria database, functional PBE.

CIF file:
```
data_Ac2Pr2Nd4Dy
_chemical_formula_sum 'Ac4 Pr4 Nd8 Dy2'
_cell_length_a 19.502
_cell_length_b 3.785
_cell_length_c 10.083
_cell_angle_alpha 90.00
_cell_angle_beta 115.72
_cell_angle_gamma 90.00
_symmetry_space_group_name_H-M 'C 1 2/m 1'
_symmetry_Int_Tables_number 12
loop_
_symmetry_equiv_pos_as_xyz
'x,y,z'
'-x,-y,-z'
'-x,y,-z'
'x,-y,z'
'x+1/2,y+1/2,z'
'-x+1/2,-y+1/2,-z'
'-x+1/2,y+1/2,-z'
'x+1/2,-y+1/2,z'
loop_
_atom_site_label
_atom_site_type_symbol
_atom_site_fract_x
_atom_site_fract_y
_atom_site_fract_z
Ac1 Ac 0.145 0.000 0.165
Pr1 Pr 0.164 0.500 0.504
Nd1 Nd 0.018 0.500 0.819
Nd2 Nd 0.184 0.000 0.831
Dy1 Dy 0.000 0.000 0.500
```

Computed properties:
Magnetization = 0.000 μB/atom
Theoretical density = 7308 kg/m3
Formation energy = 0.029 eV/atom
DFT total energy = -4.577 eV/atom



AcPrNd4Dy2 after structural relaxation. Source: the Alexandria database, functional PBE.

CIF file:
```
data_AcPrNd4Dy2
_chemical_formula_sum 'Ac2 Pr2 Nd8 Dy4'
_cell_length_a 11.677
_cell_length_b 5.211
_cell_length_c 10.473
_cell_angle_alpha 90.00
_cell_angle_beta 116.71
_cell_angle_gamma 90.00
_symmetry_space_group_name_H-M 'C 1 2/m 1'
_symmetry_Int_Tables_number 12
loop_
_symmetry_equiv_pos_as_xyz
'x,y,z'
'-x,-y,-z'
'-x,y,-z'
'x,-y,z'
'x+1/2,y+1/2,z'
'-x+1/2,-y+1/2,-z'
'-x+1/2,y+1/2,-z'
'x+1/2,-y+1/2,z'
loop_
_atom_site_label
_atom_site_type_symbol
_atom_site_fract_x
_atom_site_fract_y
_atom_site_fract_z
Ac1 Ac 0.000 0.000 0.000
Pr1 Pr 0.000 0.000 0.500
Nd1 Nd 0.248 0.000 0.871
Nd2 Nd 0.249 0.500 0.623
Dy1 Dy 0.001 0.500 0.745
```

Computed properties:
Magnetization = 0.000 μB/atom
Theoretical density = 7408 kg/m3
Formation energy = 0.031 eV/atom
DFT total energy = -4.615 eV/atom



AcPr2NdDy5 after structural relaxation. Source: the Alexandria database, functional PBE.

CIF file:
```
data_AcPr2NdDy5
_chemical_formula_sum 'Ac4 Pr8 Nd4 Dy20'
_cell_length_a 8.846
_cell_length_b 8.846
_cell_length_c 15.892
_cell_angle_alpha 90.00
_cell_angle_beta 90.00
_cell_angle_gamma 90.00
_symmetry_space_group_name_H-M 'I 4/m c m'
_symmetry_Int_Tables_number 140
_symmetry_space_group_name_Hall '-I 4 2c'
loop_
_atom_site_label
_atom_site_type_symbol
_atom_site_fract_x
_atom_site_fract_y
_atom_site_fract_z
Ac1 Ac 0.000 0.000 0.250
Pr1 Pr 0.118 0.382 0.000
Nd1 Nd 0.000 0.500 0.250
Dy1 Dy 0.000 0.000 0.000
Dy2 Dy 0.207 0.293 0.366
```

Computed properties:
Magnetization = 0.000 μB/atom
Theoretical density = 7828 kg/m3
Formation energy = 0.241 eV/atom
DFT total energy = -4.364 eV/atom



Ac2PrNdDy after structural relaxation. Source: the Alexandria database, functional PBE.

CIF file:
```
data_Ac2PrNdDy
_chemical_formula_sum 'Ac4 Pr2 Nd2 Dy2'
_cell_length_a 6.519
_cell_length_b 8.862
_cell_length_c 6.887
_cell_angle_alpha 90.00
_cell_angle_beta 90.00
_cell_angle_gamma 90.00
_symmetry_space_group_name_H-M 'P m m a'
_symmetry_Int_Tables_number 51
loop_
_symmetry_equiv_pos_as_xyz
'x,y,z'
'-x,-y,-z'
'-x+1/2,-y,z'
'x+1/2,y,-z'
'x+1/2,-y,-z'
'-x+1/2,y,z'
'-x,y,-z'
'x,-y,z'
loop_
_atom_site_label
_atom_site_type_symbol
_atom_site_fract_x
_atom_site_fract_y
_atom_site_fract_z
Ac1 Ac 0.250 0.206 0.210
Pr1 Pr 0.250 0.500 0.913
Nd1 Nd 0.250 0.000 0.680
Dy1 Dy 0.000 0.500 0.500
```

Computed properties:
Magnetization = 0.000 μB/atom
Theoretical density = 7526 kg/m3
Formation energy = 0.243 eV/atom
DFT total energy = -4.230 eV/atom



AcNdDyPu after structural relaxation. Source: the Alexandria database, functional PBE.

CIF file:
```
data_AcNdDyPu
_chemical_formula_sum 'Ac4 Nd4 Dy4 Pu4'
_cell_length_a 8.248
_cell_length_b 8.248
_cell_length_c 8.248
_cell_angle_alpha 90.00
_cell_angle_beta 90.00
_cell_angle_gamma 90.00
_symmetry_space_group_name_H-M 'F -4 3 m'
_symmetry_Int_Tables_number 216
_symmetry_space_group_name_Hall 'F -4 2 3'
loop_
_atom_site_label
_atom_site_type_symbol
_atom_site_fract_x
_atom_site_fract_y
_atom_site_fract_z
Ac1 Ac 0.000 0.000 0.000
Nd1 Nd 0.250 0.250 0.250
Dy1 Dy 0.250 0.250 0.750
Pu1 Pu 0.000 0.000 0.500
```

Computed properties:
Magnetization = 1.810 μB/atom
Theoretical density = 9207 kg/m3
Formation energy = 0.269 eV/atom
DFT total energy = -6.683 eV/atom



Ac3Nd2DyS6 after structural relaxation. Source: the Alexandria database, functional PBE.

CIF file:
```
data_Ac3Nd2DyS6
_chemical_formula_sum 'Ac6 Nd4 Dy2 S12'
_cell_length_a 7.165
_cell_length_b 12.434
_cell_length_c 7.262
_cell_angle_alpha 90.00
_cell_angle_beta 109.32
_cell_angle_gamma 90.00
_symmetry_space_group_name_H-M 'C 1 2/m 1'
_symmetry_Int_Tables_number 12
loop_
_symmetry_equiv_pos_as_xyz
'x,y,z'
'-x,-y,-z'
'-x,y,-z'
'x,-y,z'
'x+1/2,y+1/2,z'
'-x+1/2,-y+1/2,-z'
'-x+1/2,y+1/2,-z'
'x+1/2,-y+1/2,z'
loop_
_atom_site_label
_atom_site_type_symbol
_atom_site_fract_x
_atom_site_fract_y
_atom_site_fract_z
Ac1 Ac 0.000 0.000 0.000
Ac2 Ac 0.000 0.330 0.000
Nd1 Nd 0.000 0.167 0.500
Dy1 Dy 0.000 0.500 0.500
S1 S 0.238 0.338 0.728
S2 S 0.247 0.500 0.268
```

Computed properties:
Magnetization = 0.000 μB/atom
Theoretical density = 7204 kg/m3
Energy relative to the elements, uncorrected = -24.0 eV per formula unit
DFT total energy = -6.272 eV/atom



What did the fourth record say?
Ac2PrNdDy after structural relaxation. Source: the Alexandria database, functional PBE.

CIF file:
```
data_Ac2PrNdDy
_chemical_formula_sum 'Ac4 Pr2 Nd2 Dy2'
_cell_length_a 6.519
_cell_length_b 8.862
_cell_length_c 6.887
_cell_angle_alpha 90.00
_cell_angle_beta 90.00
_cell_angle_gamma 90.00
_symmetry_space_group_name_H-M 'P m m a'
_symmetry_Int_Tables_number 51
loop_
_symmetry_equiv_pos_as_xyz
'x,y,z'
'-x,-y,-z'
'-x+1/2,-y,z'
'x+1/2,y,-z'
'x+1/2,-y,-z'
'-x+1/2,y,z'
'-x,y,-z'
'x,-y,z'
loop_
_atom_site_label
_atom_site_type_symbol
_atom_site_fract_x
_atom_site_fract_y
_atom_site_fract_z
Ac1 Ac 0.250 0.206 0.210
Pr1 Pr 0.250 0.500 0.913
Nd1 Nd 0.250 0.000 0.680
Dy1 Dy 0.000 0.500 0.500
```

Computed properties:
Magnetization = 0.000 μB/atom
Theoretical density = 7526 kg/m3
Formation energy = 0.243 eV/atom
DFT total energy = -4.230 eV/atom



> DFT total energy of number 3 (AcPr2NdDy5)?

-4.364 eV/atom



> The lowest DFT total energy belongs to which entry?

AcNdDyPu